1.
# Dy2PtRh (GGA-PBE, optimized geometry)
# Formation enthalpy at 0 K   -1.06 eV/atom
# E   -6.711 eV per atom
data_Dy2PtRh
_cell_length_a 4.364
_cell_length_b 5.633
_cell_length_c 7.484
_cell_angle_alpha 109.47
_cell_angle_beta 90.00
_cell_angle_gamma 90.00
_symmetry_space_group_name_H-M 'P 1'
_symmetry_Int_Tables_number 1
_symmetry_space_group_name_Hall 'P 1'
loop_
_atom_site_label
_atom_site_type_symbol
_atom_site_fract_x
_atom_site_fract_y
_atom_site_fract_z
Dy1 Dy 0.750 0.220 0.431
Dy2 Dy 0.250 0.780 0.569
Dy3 Dy 0.250 0.779 0.071
Dy4 Dy 0.750 0.221 0.929
Pt1 Pt 0.250 0.328 0.206
Pt2 Pt 0.750 0.672 0.794
Rh1 Rh 0.750 0.681 0.294
Rh2 Rh 0.250 0.319 0.706

=====

2.
# DyPtRh4 (GGA-PBE, optimized geometry)
# Formation enthalpy at 0 K   -0.29 eV/atom
# E   -6.966 eV per atom
data_DyPtRh4
_cell_length_a 5.210
_cell_length_b 5.210
_cell_length_c 5.210
_cell_angle_alpha 60.00
_cell_angle_beta 60.00
_cell_angle_gamma 60.00
_symmetry_space_group_name_H-M 'P 1'
_symmetry_Int_Tables_number 1
_symmetry_space_group_name_Hall 'P 1'
loop_
_atom_site_label
_atom_site_type_symbol
_atom_site_fract_x
_atom_site_fract_y
_atom_site_fract_z
Rh1 Rh 0.626 0.626 0.123
Rh2 Rh 0.626 0.123 0.626
Rh3 Rh 0.626 0.626 0.626
Rh4 Rh 0.123 0.626 0.626
Pt1 Pt 0.000 0.000 0.000
Dy1 Dy 0.250 0.250 0.250

=====

3.
# Dy7Pt2Rh2 (GGA-PBE, optimized geometry)
# Polymorph energy (0 for the lowest one)   0.000 eV/f.u.
# Formation enthalpy at 0 K   -0.83 eV/atom
# E   -6.198 eV per atom
data_Dy7Pt2Rh2
_cell_length_a 3.895
_cell_length_b 9.051
_cell_length_c 9.051
_cell_angle_alpha 61.80
_cell_angle_beta 77.57
_cell_angle_gamma 77.57
_symmetry_space_group_name_H-M 'P 1'
_symmetry_Int_Tables_number 1
_symmetry_space_group_name_Hall 'P 1'
loop_
_atom_site_label
_atom_site_type_symbol
_atom_site_fract_x
_atom_site_fract_y
_atom_site_fract_z
Dy1 Dy 0.810 0.085 0.295
Dy2 Dy 0.871 0.392 0.866
Dy3 Dy 0.500 0.000 0.000
Dy4 Dy 0.614 0.492 0.279
Dy5 Dy 0.386 0.721 0.508
Dy6 Dy 0.190 0.705 0.915
Dy7 Dy 0.129 0.134 0.608
Pt1 Pt 0.000 0.777 0.223
Pt2 Pt 0.500 0.351 0.649
Rh1 Rh 0.740 0.858 0.662
Rh2 Rh 0.260 0.338 0.142

=====

4.
# Dy4Pt3Rh (GGA-PBE, optimized geometry)
# Formation enthalpy at 0 K   -1.18 eV/atom
# E   -6.661 eV per atom
data_Dy4Pt3Rh
_cell_length_a 3.765
_cell_length_b 4.419
_cell_length_c 10.563
_cell_angle_alpha 90.00
_cell_angle_beta 90.00
_cell_angle_gamma 90.00
_symmetry_space_group_name_H-M 'P 1'
_symmetry_Int_Tables_number 1
_symmetry_space_group_name_Hall 'P 1'
loop_
_atom_site_label
_atom_site_type_symbol
_atom_site_fract_x
_atom_site_fract_y
_atom_site_fract_z
Rh1 Rh 0.500 0.500 0.089
Pt1 Pt 0.000 0.500 0.588
Pt2 Pt 0.000 0.000 0.413
Pt3 Pt 0.500 0.000 0.914
Dy1 Dy 0.500 0.500 0.356
Dy2 Dy 0.000 0.500 0.863
Dy3 Dy 0.000 0.000 0.138
Dy4 Dy 0.500 0.000 0.639

=====

5.
# Dy2Pt9Rh (GGA-PBE, optimized geometry)
# Formation enthalpy at 0 K   -0.65 eV/atom
# E   -6.564 eV per atom
data_Dy2Pt9Rh
_cell_length_a 4.053
_cell_length_b 4.053
_cell_length_c 12.272
_cell_angle_alpha 90.00
_cell_angle_beta 90.00
_cell_angle_gamma 90.00
_symmetry_space_group_name_H-M 'P 1'
_symmetry_Int_Tables_number 1
_symmetry_space_group_name_Hall 'P 1'
loop_
_atom_site_label
_atom_site_type_symbol
_atom_site_fract_x
_atom_site_fract_y
_atom_site_fract_z
Dy1 Dy 0.000 0.000 0.330
Dy2 Dy 0.000 0.000 0.670
Pt1 Pt 0.500 0.500 0.000
Pt2 Pt 0.500 0.500 0.329
Pt3 Pt 0.500 0.500 0.671
Pt4 Pt 0.500 0.000 0.157
Pt5 Pt 0.500 0.000 0.500
Pt6 Pt 0.500 0.000 0.843
Pt7 Pt 0.000 0.500 0.157
Pt8 Pt 0.000 0.500 0.500
Pt9 Pt 0.000 0.500 0.843
Rh1 Rh 0.000 0.000 0.000

=====

6.
# Dy2Pt5Rh (GGA-PBE, optimized geometry)
# Formation enthalpy at 0 K   -0.95 eV/atom
# E   -6.799 eV per atom
data_Dy2Pt5Rh
_cell_length_a 4.093
_cell_length_b 5.813
_cell_length_c 11.630
_cell_angle_alpha 90.00
_cell_angle_beta 90.00
_cell_angle_gamma 90.00
_symmetry_space_group_name_H-M 'P 1'
_symmetry_Int_Tables_number 1
_symmetry_space_group_name_Hall 'P 1'
loop_
_atom_site_label
_atom_site_type_symbol
_atom_site_fract_x
_atom_site_fract_y
_atom_site_fract_z
Dy1 Dy 0.500 0.245 0.624
Dy2 Dy 0.500 0.755 0.376
Dy3 Dy 0.500 0.255 0.124
Dy4 Dy 0.500 0.745 0.876
Pt1 Pt 0.000 0.000 0.000
Pt2 Pt 0.000 0.500 0.500
Pt3 Pt 0.000 0.496 0.750
Pt4 Pt 0.000 0.504 0.250
Pt5 Pt 0.000 0.004 0.250
Pt6 Pt 0.000 0.996 0.750
Pt7 Pt 0.500 0.248 0.876
Pt8 Pt 0.500 0.752 0.124
Pt9 Pt 0.500 0.252 0.376
Pt10 Pt 0.500 0.748 0.624
Rh1 Rh 0.000 0.000 0.500
Rh2 Rh 0.000 0.500 0.000

=====

7.
# Dy8Pt2Rh3 (GGA-PBE, optimized geometry)
# Formation enthalpy at 0 K   -0.82 eV/atom
# E   -6.275 eV per atom
data_Dy8Pt2Rh3
_cell_length_a 4.828
_cell_length_b 9.733
_cell_length_c 8.406
_cell_angle_alpha 125.42
_cell_angle_beta 90.00
_cell_angle_gamma 90.00
_symmetry_space_group_name_H-M 'P 1'
_symmetry_Int_Tables_number 1
_symmetry_space_group_name_Hall 'P 1'
loop_
_atom_site_label
_atom_site_type_symbol
_atom_site_fract_x
_atom_site_fract_y
_atom_site_fract_z
Dy1 Dy 0.000 0.623 0.246
Dy2 Dy 0.000 0.377 0.754
Dy3 Dy 0.000 0.125 0.248
Dy4 Dy 0.000 0.875 0.752
Dy5 Dy 0.500 0.628 0.754
Dy6 Dy 0.500 0.125 0.753
Dy7 Dy 0.500 0.875 0.247
Dy8 Dy 0.500 0.372 0.246
Pt1 Pt 0.500 0.252 0.503
Pt2 Pt 0.500 0.748 0.497
Rh1 Rh 0.500 0.000 0.000
Rh2 Rh 0.000 0.249 0.000
Rh3 Rh 0.000 0.751 0.000

=====

8.
# DyPtRh (GGA-PBE, optimized geometry)
# Polymorph energy (0 for the lowest one)   0.000 eV/f.u.
# Formation enthalpy at 0 K   -0.94 eV/atom
# E   -6.942 eV per atom
data_DyPtRh
_cell_length_a 5.387
_cell_length_b 5.387
_cell_length_c 5.387
_cell_angle_alpha 89.87
_cell_angle_beta 120.11
_cell_angle_gamma 120.04
_symmetry_space_group_name_H-M 'P 1'
_symmetry_Int_Tables_number 1
_symmetry_space_group_name_Hall 'P 1'
loop_
_atom_site_label
_atom_site_type_symbol
_atom_site_fract_x
_atom_site_fract_y
_atom_site_fract_z
Dy1 Dy 0.250 0.126 0.876
Dy2 Dy 0.750 0.874 0.124
Pt1 Pt 0.000 0.500 0.500
Pt2 Pt 0.500 0.000 0.500
Rh1 Rh 0.500 0.500 0.500
Rh2 Rh 0.000 0.500 0.000

=====

9.
# DyPtRh (GGA-PBE, optimized geometry)
# Polymorph energy (0 for the lowest one)   0.341 eV/f.u.
# Formation enthalpy at 0 K   -0.83 eV/atom
# E   -6.829 eV per atom
data_DyPtRh
_cell_length_a 3.705
_cell_length_b 4.351
_cell_length_c 4.351
_cell_angle_alpha 120.00
_cell_angle_beta 90.00
_cell_angle_gamma 90.00
_symmetry_space_group_name_H-M 'P 1'
_symmetry_Int_Tables_number 1
_symmetry_space_group_name_Hall 'P 1'
loop_
_atom_site_label
_atom_site_type_symbol
_atom_site_fract_x
_atom_site_fract_y
_atom_site_fract_z
Rh1 Rh 0.167 0.333 0.667
Pt1 Pt 0.167 0.000 0.000
Dy1 Dy 0.667 0.667 0.333

=====

10.
# DyPt3Rh (GGA-PBE, optimized geometry)
# Formation enthalpy at 0 K   -0.52 eV/atom
# E   -6.535 eV per atom
data_DyPt3Rh
_cell_length_a 4.396
_cell_length_b 6.476
_cell_length_c 6.337
_cell_angle_alpha 90.00
_cell_angle_beta 90.00
_cell_angle_gamma 90.00
_symmetry_space_group_name_H-M 'P 1'
_symmetry_Int_Tables_number 1
_symmetry_space_group_name_Hall 'P 1'
loop_
_atom_site_label
_atom_site_type_symbol
_atom_site_fract_x
_atom_site_fract_y
_atom_site_fract_z
Dy1 Dy 0.500 0.000 0.255
Dy2 Dy 0.000 0.500 0.745
Pt1 Pt 0.000 0.700 0.256
Pt2 Pt 0.500 0.800 0.744
Pt3 Pt 0.500 0.200 0.744
Pt4 Pt 0.000 0.300 0.256
Pt5 Pt 0.000 0.000 0.953
Pt6 Pt 0.500 0.500 0.047
Rh1 Rh 0.000 0.000 0.553
Rh2 Rh 0.500 0.500 0.447

=====

11.
# DySbPtRh (GGA-PBE, optimized geometry)
# E   -6.269 eV per atom
# Energy relative to the elements, uncorrected   -739.6 meV/atom
data_DySbPtRh
_cell_length_a 4.787
_cell_length_b 4.787
_cell_length_c 4.787
_cell_angle_alpha 60.00
_cell_angle_beta 60.00
_cell_angle_gamma 60.00
_symmetry_space_group_name_H-M 'P 1'
_symmetry_Int_Tables_number 1
_symmetry_space_group_name_Hall 'P 1'
loop_
_atom_site_label
_atom_site_type_symbol
_atom_site_fract_x
_atom_site_fract_y
_atom_site_fract_z
Sb1 Sb 0.750 0.750 0.750
Rh1 Rh 0.000 0.000 0.000
Pt1 Pt 0.500 0.500 0.500
Dy1 Dy 0.250 0.250 0.250

=====

12.
# Dy2Si4Pt3Rh (GGA-PBE, optimized geometry)
# E   -6.748 eV per atom
# Energy relative to the elements, uncorrected   -1110.5 meV/atom
data_Dy2Si4Pt3Rh
_cell_length_a 4.129
_cell_length_b 4.129
_cell_length_c 10.035
_cell_angle_alpha 90.00
_cell_angle_beta 90.00
_cell_angle_gamma 90.00
_symmetry_space_group_name_H-M 'P 1'
_symmetry_Int_Tables_number 1
_symmetry_space_group_name_Hall 'P 1'
loop_
_atom_site_label
_atom_site_type_symbol
_atom_site_fract_x
_atom_site_fract_y
_atom_site_fract_z
Dy1 Dy 0.500 0.000 0.248
Dy2 Dy 0.000 0.500 0.752
Si1 Si 0.500 0.500 0.000
Si2 Si 0.000 0.000 0.000
Si3 Si 0.500 0.000 0.634
Si4 Si 0.000 0.500 0.366
Pt1 Pt 0.000 0.000 0.500
Pt2 Pt 0.500 0.000 0.873
Pt3 Pt 0.000 0.500 0.127
Rh1 Rh 0.500 0.500 0.500